(1)
Material: LiIrBr2
Method: DFT, GGA-PBE
State: optimized geometry

Structure (POSCAR):
```
LiIrBr2
1.0
-0.8141 -7.4951 3.4539
0.8542 -8.2272 0.5939
2.5572 -7.1546 3.3230
Br Ir Li
2 1 1
direct
0.9003 0.9003 0.9003
0.0997 0.0997 0.0997
0.0000 0.0000 0.0000
0.5000 0.5000 0.5000
```

polymorph energy (0 for the lowest one) = 0.256 eV/atom
mass density = 7.43 g/cm3
N(E_F) = 3.64 states/eV/f.u.
energy relative to the elements, uncorrected = -0.0622 eV per atom
E = -14.369 eV per cell
crystal system = trigonal

---

(2)
Material: SrLa2Pr2Cd5
Method: DFT, GGA-PBE
State: optimized geometry

Structure (POSCAR):
```
SrLa2Pr2Cd5
1.0
-2.9107 -1.9389 -3.5664
8.9728 -2.6300 -5.8931
0.4097 -9.8405 5.0154
Cd La Pr Sr
10 4 4 2
direct
0.5000 0.0695 0.8028
0.5000 0.4305 0.3028
0.5000 0.6972 0.4305
0.5000 0.0000 0.5000
0.5000 0.1972 0.0695
0.5000 0.8028 0.9305
0.5000 0.3028 0.5695
0.5000 0.5000 0.0000
0.5000 0.5695 0.6972
0.5000 0.9305 0.1972
0.0000 0.8245 0.6755
0.0000 0.1755 0.3245
0.0000 0.3245 0.8245
0.0000 0.6755 0.1755
0.0000 0.3760 0.1240
0.0000 0.8760 0.3760
0.0000 0.6240 0.8760
0.0000 0.1240 0.6240
0.0000 0.0000 0.0000
0.0000 0.5000 0.5000
```

mass density = 6.58 g/cm3
N(E_F) = 6.77 states/eV/f.u.
E = -54.881 eV per cell
crystal system = tetragonal

---

(3)
Material: Pr8Cd2Pd
Method: DFT, GGA-PBE
State: optimized geometry

Structure (POSCAR):
```
Pr8Cd2Pd
1.0
-2.2632 3.2182 3.6727
-6.3838 -1.3400 -2.7596
1.9837 -8.3490 4.5947
Cd Pr Pd
2 8 1
direct
0.1902 0.7366 0.3803
0.8098 0.2634 0.6197
0.6529 0.9603 0.3058
0.5910 0.4464 0.1821
0.2017 0.2983 0.4034
0.7983 0.7017 0.5966
0.3471 0.0397 0.6942
0.9798 0.2271 0.9597
0.0202 0.7729 0.0403
0.4090 0.5536 0.8179
0.5000 0.0000 0.0000
```

mass density = 6.95 g/cm3
N(E_F) = 12.54 states/eV/f.u.
E = -47.508 eV per cell
crystal system = monoclinic

---

(4)
Material: NdZn5
Method: DFT, GGA-PBE
State: optimized geometry

Structure (POSCAR):
```
NdZn5
1.0
4.4938 0.0000 0.0000
0.0000 4.4358 0.0000
0.0000 -2.2179 5.6520
Zn Nd
5 1
direct
0.0000 0.6877 0.3755
0.5000 0.1798 0.3597
0.5000 0.5000 0.0000
0.0000 0.3123 0.6245
0.5000 0.8202 0.6403
0.0000 0.0000 0.0000
```

mass density = 6.95 g/cm3
N(E_F) = 2.29 states/eV/f.u.
E = -11.959 eV per cell
crystal system = orthorhombic

---

(5)
Material: CeVGa3
Method: DFT, GGA-PBE
State: optimized geometry

Structure (POSCAR):
```
CeVGa3
1.0
-0.6916 5.0134 2.4034
-5.9248 0.1478 -2.0133
1.3473 -2.4902 5.5823
Ga Ce V
6 2 2
direct
0.7500 0.3864 0.1932
0.7500 0.8068 0.6136
0.2500 0.1932 0.3864
0.7500 0.8068 0.1932
0.2500 0.1932 0.8068
0.2500 0.6136 0.8068
0.7500 0.3333 0.6667
0.2500 0.6667 0.3333
0.0000 0.0000 0.0000
0.5000 0.0000 0.0000
```

mass density = 6.99 g/cm3
N(E_F) = 5.62 states/eV/f.u.
E = -52.434 eV per cell
crystal system = hexagonal

---

(6)
Material: K2Te2Pb
Method: DFT, GGA-PBE
State: optimized geometry

Structure (POSCAR):
```
K2Te2Pb
1.0
4.3804 0.0000 0.0000
0.0000 4.3804 0.0000
2.1902 2.1902 10.7378
Te K Pb
2 2 1
direct
0.2500 0.7500 0.5000
0.7500 0.2500 0.5000
0.3857 0.3857 0.2286
0.6143 0.6143 0.7714
0.0000 0.0000 0.0000
```

polymorph energy (0 for the lowest one) = 0.528 eV/atom
mass density = 4.36 g/cm3
N(E_F) = 3.89 states/eV/f.u.
energy relative to the elements, uncorrected = -0.2506 eV per atom
E = -13.440 eV per cell
crystal system = tetragonal

---

(7)
Material: LaMg6Fe
Method: DFT, GGA-PBE
State: optimized geometry

Structure (POSCAR):
```
LaMg6Fe
1.0
2.9703 -6.4652 0.0000
2.9703 6.4652 0.0000
0.0000 0.0000 4.9551
Mg La Fe
6 1 1
direct
0.1386 0.8614 0.0000
0.3137 0.1931 0.5000
0.7151 0.2849 0.0000
0.1690 0.3199 0.0000
0.6801 0.8310 0.0000
0.8069 0.6863 0.5000
0.3037 0.6963 0.5000
0.8729 0.1271 0.5000
```

polymorph energy (0 for the lowest one) = 0.000 eV/atom
mass density = 2.97 g/cm3
N(E_F) = 7.41 states/eV/f.u.
E = -21.738 eV per cell
crystal system = orthorhombic

---

(8)
Material: Tm4Mg5Pd2
Method: DFT, GGA-PBE
State: optimized geometry

Structure (POSCAR):
```
Tm4Mg5Pd2
1.0
-0.9547 3.2025 1.1585
-5.1344 0.6148 -5.9303
-6.6022 -4.1259 5.9644
Tm Mg Pd
4 5 2
direct
0.5000 0.8361 0.1434
0.5000 0.1639 0.8566
0.5000 0.7860 0.5522
0.5000 0.2140 0.4478
0.0000 0.5000 0.0000
0.0000 0.1875 0.1546
0.0000 0.8125 0.8454
0.0000 0.4508 0.6769
0.0000 0.5492 0.3231
0.0000 0.9314 0.3569
0.0000 0.0686 0.6431
```

mass density = 6.15 g/cm3
N(E_F) = 8.99 states/eV/f.u.
E = -40.177 eV per cell
crystal system = monoclinic

---

Which value of mass density does entry 7 give?
2.97 g/cm3